[1]
! PBE Cs2ZnSeF6, optimized geometry; values from VASP
&SYSTEM
  ibrav = 0, nat = 10, ntyp = 4
/
ATOMIC_SPECIES
F 19.00 F.upf
Zn 65.41 Zn.upf
Cs 132.91 Cs.upf
Se 78.96 Se.upf
CELL_PARAMETERS angstrom
-4.1794 -1.9860 4.8150
-0.1076 -6.1393 -2.6256
1.2382 -5.1801 3.5692
ATOMIC_POSITIONS angstrom
F -3.0459 -5.7730 1.5556
F -3.0006 -3.1883 2.6610
F -2.7724 -8.6258 3.2977
F -0.2764 -4.6796 2.4609
Zn -2.1435 -4.0626 1.0947
Cs -0.5064 -7.6910 1.0192
F -1.2864 -4.9369 -0.4715
F -1.2411 -2.3522 0.6338
Se 0.0000 0.0000 0.0000
Cs -2.5424 -5.6144 4.7394
! magnetic moment = 0.2000 μB per atom
! mass density = 4.50 g/cm3
! space-group type = I4/mmm
! D(E_F) = 0.0 states/eV/cell
! formation energy (no corrections) = -2018 kJ/mol of formula units

***

[2]
! PBE Cs2ZrSeF6, optimized geometry; values from VASP
&SYSTEM
  ibrav = 0, nat = 10, ntyp = 4
/
ATOMIC_SPECIES
Cs 132.91 Cs.upf
Se 78.96 Se.upf
F 19.00 F.upf
Zr 91.22 Zr.upf
CELL_PARAMETERS angstrom
-6.8091 0.6560 0.6579
-0.8919 -3.2536 -5.9871
-4.0551 -6.0333 -0.0613
ATOMIC_POSITIONS angstrom
Cs -4.3987 -5.2929 -4.3565
Se -3.8505 -1.2988 -2.6646
Cs -7.3574 -3.3381 -1.0340
F -1.6155 -0.5449 -1.1179
F -2.1332 -2.4335 -4.5932
F -3.9779 -4.2479 -1.0430
Zr 0.0000 0.0000 0.0000
F -5.5679 -0.1642 -0.7361
F -7.7782 -4.3831 -4.3476
F -6.0856 -2.0527 -4.2113
! magnetic moment = 0.2000 μB per atom
! mass density = 3.58 g/cm3
! space-group type = I4/mmm
! D(E_F) = 0.0 states/eV/cell
! formation energy (no corrections) = -2661 kJ/mol of formula units

***

[3]
! PBE CsZrSe2F, optimized geometry; values from VASP
&SYSTEM
  ibrav = 0, nat = 5, ntyp = 4
/
ATOMIC_SPECIES
Cs 132.91 Cs.upf
Se 78.96 Se.upf
F 19.00 F.upf
Zr 91.22 Zr.upf
CELL_PARAMETERS angstrom
5.4060 0.0000 0.0000
0.0000 5.4060 0.0000
0.0000 0.0000 4.4325
ATOMIC_POSITIONS angstrom
Cs 2.7030 2.7030 2.2162
Se 0.0000 2.7030 0.0000
F 0.0000 0.0000 2.2162
Zr 0.0000 0.0000 0.0000
Se 2.7030 0.0000 0.0000
! magnetic moment = 0.0000 μB per atom
! mass density = 5.14 g/cm3
! space-group type = P4/mmm
! D(E_F) = 1.0 states/eV/cell
! formation energy (no corrections) = -876 kJ/mol of formula units

***

[4]
! PBE Cs3SiF6, optimized geometry; values from VASP
&SYSTEM
  ibrav = 0, nat = 10, ntyp = 3
/
ATOMIC_SPECIES
F 19.00 F.upf
Cs 132.91 Cs.upf
Si 28.09 Si.upf
CELL_PARAMETERS angstrom
-1.3147 -5.1934 -4.5564
4.1205 -4.3123 3.7263
-2.5153 -6.1469 2.3045
ATOMIC_POSITIONS angstrom
F 1.8939 -6.4161 -0.5603
F 2.3539 -4.5987 1.0342
Cs 0.0000 0.0000 0.0000
Cs -1.2136 -8.0466 -1.3335
F 0.0305 -5.2412 0.5375
F 0.9120 -3.0896 -0.2698
F 0.2601 -10.4115 0.9369
Si 1.4029 -4.7529 -0.4150
F 0.4519 -4.9070 -1.8643
Cs 1.5041 -7.6060 2.8079
! magnetic moment = 0.0000 μB per atom
! mass density = 3.65 g/cm3
! space-group type = I4/mmm
! D(E_F) = 2.9 states/eV/cell
! formation energy (no corrections) = -2613 kJ/mol of formula units